# 1
Here is a relaxed structure of MgZr2Al2Rh5 from Alexandria via LeMat-Bulk. Energies are from PBE-GGA.

Results
The calculation puts the calculated formation energy at -0.745 eV per atom. The value obtained for the density of states at the Fermi level is 0.352 states/eV/atom.

Cell: 9.6972 9.6972 3.4351 Å, 90.00 90.00 90.00°
Sites, in units of the cell vectors:
Mg 0.0000 0.0000 0.0000
Mg 0.5000 0.5000 0.0000
Zr 0.1749 0.3251 0.0000
Zr 0.3251 0.8251 0.0000
Zr 0.6749 0.1749 0.0000
Zr 0.8251 0.6749 0.0000
Al 0.1244 0.6244 0.0000
Al 0.3756 0.1244 0.0000
Al 0.6244 0.8756 0.0000
Al 0.8756 0.3756 0.0000
Rh 0.0000 0.5000 0.5000
Rh 0.0711 0.7938 0.5000
Rh 0.2062 0.0711 0.5000
Rh 0.2938 0.5711 0.5000
Rh 0.4289 0.2938 0.5000
Rh 0.5000 0.0000 0.5000
Rh 0.5711 0.7062 0.5000
Rh 0.7062 0.4289 0.5000
Rh 0.7938 0.9289 0.5000
Rh 0.9289 0.2062 0.5000

---

# 2
Here is a relaxed structure of MgZrAlRh from Alexandria via LeMat-Bulk. Energies are from PBE-GGA.

Results
The calculation puts the calculated formation energy at -0.579 eV per atom.

Cell: 4.5744 4.5744 4.5744 Å, 60.00 60.00 60.00°
Sites, in units of the cell vectors:
Mg 0.0000 0.0000 0.0000
Zr 0.2500 0.2500 0.2500
Al 0.7500 0.7500 0.7500
Rh 0.5000 0.5000 0.5000

---

# 3
Here is a relaxed structure of MgZr2AlRh from Alexandria via LeMat-Bulk. Energies are from PBE-GGA.

Results
The calculation puts the calculated formation energy at 0.375 eV per atom. The value obtained for the density of states at the Fermi level is 1.034 states/eV/atom.

Cell: 5.0653 5.0653 4.4524 Å, 90.00 90.00 90.00°
Sites, in units of the cell vectors:
Mg 0.0000 0.0000 0.0000
Zr 0.0000 0.5000 0.5000
Zr 0.5000 0.0000 0.5000
Al 0.5000 0.5000 0.5000
Rh 0.5000 0.5000 0.0000

---

# 4
Here is a relaxed structure of MgAlRu2 from Alexandria via LeMat-Bulk. Energies are from PBE-GGA.

Results
The calculation puts the calculated formation energy at -0.117 eV per atom. The value obtained for the density of states at the Fermi level is 0.896 states/eV/atom.

Cell: 5.0120 5.0120 5.0120 Å, 144.46 124.74 67.44°
Sites, in units of the cell vectors:
Mg 0.0000 0.0000 0.0000
Al 0.5000 0.5000 0.0000
Ru 0.2650 0.7650 0.5000
Ru 0.7350 0.2350 0.5000

---

# 5
Here is a relaxed structure of MgAlRu2 from Alexandria via LeMat-Bulk. Energies are from PBE-GGA.

Results
The calculation puts the calculated formation energy at -0.080 eV per atom. The value obtained for the density of states at the Fermi level is 0.868 states/eV/atom.

Cell: 4.9936 4.9936 2.7736 Å, 102.75 102.75 112.10°
Sites, in units of the cell vectors:
Mg 0.0000 0.0000 0.0000
Al 0.5000 0.5000 0.0000
Ru 0.0000 0.5000 0.5000
Ru 0.5000 0.0000 0.5000

---

# 6
Here is a relaxed structure of MgAlRu2 from Alexandria via LeMat-Bulk. Energies are from PBE-GGA.

Results
The calculation puts the calculated formation energy at -0.221 eV per atom. The value obtained for the density of states at the Fermi level is 0.851 states/eV/atom.

Cell: 5.2599 5.2599 5.2599 Å, 146.69 132.16 59.54°
Sites, in units of the cell vectors:
Mg 0.0000 0.0000 0.0000
Al 0.7267 0.2267 0.5000
Ru 0.2559 0.7559 0.5000
Ru 0.4908 0.4908 0.0000

---

# 7
Here is a relaxed structure of MgAlRu from Alexandria via LeMat-Bulk. Energies are from PBE-GGA.

Results
The calculation puts the calculated formation energy at -0.052 eV per atom. The value obtained for the density of states at the Fermi level is 0.728 states/eV/atom.

Cell: 6.8415 6.6330 2.8445 Å, 81.95 73.73 24.31°
Sites, in units of the cell vectors:
Mg 0.0000 0.0000 0.0000
Al 0.3068 0.3068 0.6932
Ru 0.6640 0.6640 0.3360

---

# 8
Here is a relaxed structure of MgAlRu2 from Alexandria via LeMat-Bulk. Energies are from PBE-GGA.

Results
The calculation puts the calculated formation energy at -0.118 eV per atom. The value obtained for the density of states at the Fermi level is 0.643 states/eV/atom.

Cell: 2.7935 2.7935 8.2916 Å, 90.00 90.00 113.52°
Sites, in units of the cell vectors:
Mg 0.0000 0.0000 0.0000
Al 0.0000 0.0000 0.5000
Ru 0.5000 0.5000 0.2651
Ru 0.5000 0.5000 0.7349

---

# 9
Here is a relaxed structure of MgAl2Ru2 from Alexandria via LeMat-Bulk. Energies are from PBE-GGA.

Results
The calculation puts the calculated formation energy at -0.432 eV per atom. The value obtained for the density of states at the Fermi level is 0.139 states/eV/atom.

Cell: 6.9299 6.9299 3.1655 Å, 90.00 90.00 90.00°
Sites, in units of the cell vectors:
Mg 0.0000 0.0000 0.0000
Mg 0.5000 0.5000 0.0000
Al 0.1438 0.3562 0.5000
Al 0.3562 0.8562 0.5000
Al 0.6438 0.1438 0.5000
Al 0.8562 0.6438 0.5000
Ru 0.1506 0.6506 0.0000
Ru 0.3494 0.1506 0.0000
Ru 0.6506 0.8494 0.0000
Ru 0.8494 0.3494 0.0000

---

# 10
Here is a relaxed structure of MgAlRu4 from Alexandria via LeMat-Bulk. Energies are from PBE-GGA.

Results
The calculation puts the calculated formation energy at 0.175 eV per atom. The value obtained for the density of states at the Fermi level is 1.441 states/eV/atom.

Cell: 5.1120 5.1120 5.1120 Å, 60.00 60.00 60.00°
Sites, in units of the cell vectors:
Mg 0.0000 0.0000 0.0000
Al 0.2500 0.2500 0.2500
Ru 0.1257 0.6248 0.6248
Ru 0.6248 0.1257 0.6248
Ru 0.6248 0.6248 0.1257
Ru 0.6248 0.6248 0.6248

---

# 11
Here is a relaxed structure of MgAlRu2 from Alexandria via LeMat-Bulk. Energies are from PBE-GGA.

Results
The calculation puts the calculated formation energy at -0.073 eV per atom. The value obtained for the density of states at the Fermi level is 1.025 states/eV/atom.

Cell: 3.0650 4.1303 4.6523 Å, 90.00 90.00 90.00°
Sites, in units of the cell vectors:
Mg 0.0000 0.0000 0.0000
Al 0.5000 0.0000 0.5000
Ru 0.0000 0.5000 0.5000
Ru 0.5000 0.5000 0.0000

---

# 12
Here is a relaxed structure of MgAlRu2 from Alexandria via LeMat-Bulk. Energies are from PBE-GGA.

Results
The calculation puts the calculated formation energy at -0.079 eV per atom. The value obtained for the density of states at the Fermi level is 1.250 states/eV/atom.

Cell: 4.3664 4.3664 4.3664 Å, 60.00 60.00 60.00°
Sites, in units of the cell vectors:
Mg 0.0000 0.0000 0.0000
Al 0.2500 0.2500 0.2500
Ru 0.5000 0.5000 0.5000
Ru 0.7500 0.7500 0.7500

---

# 13
Here is a relaxed structure of MgAlRu2 from Alexandria via LeMat-Bulk. Energies are from PBE-GGA.

Results
The calculation puts the calculated formation energy at -0.116 eV per atom. The value obtained for the density of states at the Fermi level is 0.784 states/eV/atom.

Cell: 2.8086 4.0566 5.2775 Å, 90.00 99.15 90.00°
Sites, in units of the cell vectors:
Mg 0.0000 0.0000 0.0000
Al 0.5000 0.0000 0.5000
Ru 0.2924 0.5000 0.7344
Ru 0.7076 0.5000 0.2656

---

# 14
Here is a relaxed structure of MgAlRu from Alexandria via LeMat-Bulk. Energies are from PBE-GGA.

Results
The calculation puts the calculated formation energy at -0.221 eV per atom. The value obtained for the density of states at the Fermi level is 0.555 states/eV/atom.

Cell: 8.6487 4.4526 5.1964 Å, 90.00 90.00 90.00°
Sites, in units of the cell vectors:
Mg 0.0837 0.2500 0.0938
Mg 0.4163 0.7500 0.5938
Mg 0.5837 0.2500 0.4062
Mg 0.9163 0.7500 0.9062
Al 0.2114 0.2500 0.5962
Al 0.2886 0.7500 0.0962
Al 0.7114 0.2500 0.9038
Al 0.7886 0.7500 0.4038
Ru 0.0802 0.7500 0.4233
Ru 0.4198 0.2500 0.9233
Ru 0.5802 0.7500 0.0767
Ru 0.9198 0.2500 0.5767

---

# 15
Here is a relaxed structure of MgAlRu2 from Alexandria via LeMat-Bulk. Energies are from PBE-GGA.

Results
The calculation puts the calculated formation energy at -0.236 eV per atom. The value obtained for the density of states at the Fermi level is 1.281 states/eV/atom.

Cell: 3.0582 3.0582 6.2360 Å, 90.00 90.00 90.00°
Sites, in units of the cell vectors:
Mg 0.0000 0.0000 0.0000
Al 0.0000 0.0000 0.5000
Ru 0.5000 0.5000 0.2730
Ru 0.5000 0.5000 0.7270

---

# 16
Here is a relaxed structure of MgAlRu from Alexandria via LeMat-Bulk. Energies are from PBE-GGA.

Results
The calculation puts the calculated formation energy at 0.014 eV per atom. The value obtained for the density of states at the Fermi level is 0.865 states/eV/atom.

Cell: 4.2506 4.2506 4.2506 Å, 60.00 60.00 60.00°
Sites, in units of the cell vectors:
Mg 0.0000 0.0000 0.0000
Al 0.5000 0.5000 0.5000
Ru 0.7500 0.7500 0.7500

---

# 17
Here is a relaxed structure of MgAlRu from Alexandria via LeMat-Bulk. Energies are from PBE-GGA.

Results
The calculation puts the calculated formation energy at -0.351 eV per atom. The value obtained for the density of states at the Fermi level is 0.523 states/eV/atom.

Cell: 5.1538 5.1538 5.1538 Å, 143.92 143.92 51.95°
Sites, in units of the cell vectors:
Mg 0.0000 0.0000 0.0000
Al 0.2961 0.2961 0.0000
Ru 0.6755 0.6755 0.0000

---

# 18
Here is a relaxed structure of MgAlRu2 from Alexandria via LeMat-Bulk. Energies are from PBE-GGA.

Results
The calculation puts the calculated formation energy at -0.147 eV per atom. The value obtained for the density of states at the Fermi level is 0.607 states/eV/atom.

Cell: 2.8242 2.8242 7.8865 Å, 90.00 90.00 90.00°
Sites, in units of the cell vectors:
Mg 0.0000 0.0000 0.0000
Al 0.5000 0.5000 0.6864
Ru 0.0000 0.0000 0.4664
Ru 0.5000 0.5000 0.2531

---

# 19
Here is a relaxed structure of Mg16Al12Ru from Alexandria via LeMat-Bulk. Energies are from PBE-GGA.

Results
The calculation puts the calculated formation energy at -0.037 eV per atom. The value obtained for the density of states at the Fermi level is 0.488 states/eV/atom.

Cell: 8.9661 8.9661 8.9661 Å, 108.86 108.86 108.86°
Sites, in units of the cell vectors:
Mg 0.0000 0.0000 0.0000
Mg 0.2605 0.6677 0.6677
Mg 0.3060 0.5795 0.9775
Mg 0.3060 0.9775 0.5795
Mg 0.3410 0.9851 0.9851
Mg 0.4172 0.4172 0.6757
Mg 0.4172 0.6757 0.4172
Mg 0.5795 0.3060 0.9775
Mg 0.5795 0.9775 0.3060
Mg 0.6677 0.2605 0.6677
Mg 0.6677 0.6677 0.2605
Mg 0.6757 0.4172 0.4172
Mg 0.9775 0.3060 0.5795
Mg 0.9775 0.5795 0.3060
Mg 0.9851 0.3410 0.9851
Mg 0.9851 0.9851 0.3410
Al 0.1427 0.3339 0.3340
Al 0.1780 0.1780 0.7841
Al 0.1780 0.7841 0.1780
Al 0.3339 0.1427 0.3339
Al 0.3339 0.3340 0.1427
Al 0.6225 0.8024 0.9821
Al 0.6225 0.9821 0.8024
Al 0.7841 0.1780 0.1780
Al 0.8024 0.6225 0.9821
Al 0.8024 0.9821 0.6225
Al 0.9821 0.6225 0.8024
Al 0.9821 0.8024 0.6225
Ru 0.7199 0.7199 0.7199

---

# 20
Here is a relaxed structure of MgAlRu2 from Alexandria via LeMat-Bulk. Energies are from PBE-GGA.

Results
The calculation puts the calculated formation energy at -0.121 eV per atom. The value obtained for the density of states at the Fermi level is 1.129 states/eV/atom.

Cell: 4.4504 4.4504 5.0705 Å, 100.91 100.91 37.53°
Sites, in units of the cell vectors:
Mg 0.0000 0.0000 0.0000
Al 0.5000 0.5000 0.5000
Ru 0.2395 0.2395 0.7254
Ru 0.7605 0.7605 0.2746